Compound: Ac4Pd4O11
Source: the Open Quantum Materials Database
Functional: PBE
Structure: relaxed

a = 5.6679 Å, b = 5.8903 Å, c = 8.0847 Å
α = 90.00°, β = 90.00°, γ = 90.44°
Closest atoms and distances in Å follow each position.
Sites, in units of the cell vectors:
O 0.7941 0.7871 0.0556  2 Pd 2.09-2.14
Ac 0.9785 0.0553 0.2500  5 O 2.46-2.66
O 0.5830 0.0185 0.7500  2 Pd 2.10
Pd 0.5007 0.0015 0.0033  6 O 2.06-2.14
Ac 0.0157 0.9401 0.7500  6 O 2.50-2.73
O 0.2016 0.2085 0.5340  2 Pd 2.11-2.12
O 0.2977 0.7045 0.5371  2 Pd 2.09-2.11
Pd 0.5007 0.0015 0.4967  6 O 2.06-2.14
O 0.9277 0.5195 0.7500  2 Pd 2.22
O 0.2016 0.2085 0.9660  2 Pd 2.11-2.12
Pd 0.0042 0.5012 0.4810  5 O 2.09-2.22
O 0.7033 0.2993 0.4474  2 Pd 2.09-2.13
Ac 0.4935 0.4463 0.7500  6 O 2.49-2.78
O 0.2977 0.7045 0.9629  2 Pd 2.09-2.11
O 0.4110 0.9828 0.2500  2 Pd 2.06
O 0.7033 0.2993 0.0526  2 Pd 2.09-2.13
Ac 0.5026 0.5561 0.2500  7 O 2.48-2.74
O 0.7941 0.7871 0.4444  2 Pd 2.09-2.14
Pd 0.0042 0.5012 0.0190  5 O 2.09-2.22

Computed properties:
The calculated total energy is -6.7293 eV/atom. The calculation puts the total moment at 0.00 μB per cell. Its symmetry is Pm. Its crystal system is monoclinic. As for the polymorph energy (0 for the lowest one): 0.000 eV/f.u.



Compound: ErSi2Ir
Source: the Open Quantum Materials Database
Functional: PBE
Structure: relaxed

a = 5.4424 Å, b = 4.0517 Å, c = 6.3625 Å
α = 90.00°, β = 90.01°, γ = 90.00°
Closest atoms and distances in Å follow each position.
Sites, in units of the cell vectors:
Ir 0.1353 0.7500 0.7499  6 Si 2.42-2.45
Ir 0.8647 0.2500 0.2501  6 Si 2.42-2.45
Er 0.3711 0.7500 0.2500  8 Si 2.89-3.21
Er 0.6289 0.2500 0.7500  8 Si 2.89-3.21
Si 0.8390 0.7500 0.4660  3 Ir 2.42-2.45
Si 0.1610 0.2500 0.5340  3 Ir 2.42-2.45
Si 0.8388 0.7500 0.0337  3 Ir 2.42-2.45
Si 0.1612 0.2500 0.9663  3 Ir 2.42-2.45

Computed properties:
The calculated total energy is -6.9337 eV/atom. The calculation puts the total moment at 0.00 μB per cell. Its symmetry is Pmmn. Its crystal system is orthorhombic.



Compound: TbDy2Ag2Hg3Pd
Source: the Open Quantum Materials Database
Functional: PBE
Structure: relaxed

a = 3.7367 Å, b = 7.9228 Å, c = 7.9228 Å
α = 120.03°, β = 90.00°, γ = 90.00°
Closest atoms and distances in Å follow each position.
Sites, in units of the cell vectors:
Pd 0.0000 0.0005 0.0005  6 Hg 2.87-2.88, 2 Dy 3.01, 1 Tb 3.03
Dy 0.0000 0.0002 0.3807  1 Pd 3.01, 4 Ag 3.10, 6 Hg 3.28-3.30
Hg 0.5000 0.2760 0.2760  2 Pd 2.87, 2 Ag 2.90
Ag 0.5000 0.3327 0.6670  3 Hg 2.89-2.90, 4 Dy 3.10, 2 Tb 3.10
Hg 0.5000 0.0002 0.7241  2 Pd 2.88, 2 Ag 2.89-2.90
Ag 0.5000 0.6670 0.3327  3 Hg 2.89-2.90, 4 Dy 3.10, 2 Tb 3.10
Hg 0.5000 0.7241 0.0002  2 Pd 2.88, 2 Ag 2.89-2.90
Tb 0.0000 0.6185 0.6185  1 Pd 3.03, 4 Ag 3.10, 6 Hg 3.29
Dy 0.0000 0.3807 0.0002  1 Pd 3.01, 4 Ag 3.10, 6 Hg 3.28-3.30

Computed properties:
The calculated total energy is -3.2965 eV/atom. The calculation puts the total moment at 0.01 μB per cell. The formation enthalpy at 0 K comes out at -397 kJ/mol of formula units. Its symmetry is Amm2. Its crystal system is orthorhombic.



Compound: ErLuPt2
Source: the Open Quantum Materials Database
Functional: PBE
Structure: relaxed

a = 4.4484 Å, b = 6.8999 Å, c = 5.5138 Å
α = 90.00°, β = 90.00°, γ = 90.00°
Closest atoms and distances in Å follow each position.
Sites, in units of the cell vectors:
Er 0.0000 0.0691 0.1410  7 Pt 2.84-3.02
Pt 0.0000 0.7010 0.8431  4 Lu 2.82-2.99, 2 Pt 2.88, 3 Er 2.95-3.02
Pt 0.5000 0.2990 0.3431  4 Lu 2.82-2.99, 2 Pt 2.88, 3 Er 2.95-3.02
Lu 0.0000 0.5682 0.3592  7 Pt 2.82-2.99
Pt 0.0000 0.2097 0.6568  4 Er 2.84-3.01, 2 Pt 2.88, 3 Lu 2.92-2.97
Er 0.5000 0.9309 0.6410  7 Pt 2.84-3.02
Lu 0.5000 0.4318 0.8592  7 Pt 2.82-2.99
Pt 0.5000 0.7903 0.1568  4 Er 2.84-3.01, 2 Pt 2.88, 3 Lu 2.92-2.97

Computed properties:
The calculated total energy is -6.6281 eV/atom. The calculation puts the total moment at 0.00 μB per cell. The formation enthalpy at 0 K comes out at -513 kJ/mol of formula units. Its symmetry is Pmn2_1. Its crystal system is orthorhombic.



Compound: SmZrW
Source: the Open Quantum Materials Database
Functional: PBE
Structure: relaxed

a = 4.7481 Å, b = 4.7481 Å, c = 4.7481 Å
α = 60.00°, β = 60.00°, γ = 60.00°
Closest atoms and distances in Å follow each position.
Sites, in units of the cell vectors:
W 0.0000 0.0000 0.0000  4 Sm 2.91, 4 Zr 2.91
Sm 0.2500 0.2500 0.2500  4 W 2.91
Zr 0.7500 0.7500 0.7500  4 W 2.91

Computed properties:
The calculated total energy is -8.0189 eV/atom. The calculation puts the total moment at 0.01 μB per cell. The formation enthalpy at 0 K comes out at 209 kJ/mol of formula units. Its symmetry is F-43m. Its crystal system is cubic. As for the polymorph energy (0 for the lowest one): 0.000 eV/f.u.



Compound: Sr2CdBi
Source: the Open Quantum Materials Database
Functional: PBE
Structure: relaxed

a = 5.8160 Å, b = 5.8160 Å, c = 5.8160 Å
α = 60.00°, β = 60.00°, γ = 60.00°
Closest atoms and distances in Å follow each position.
Sites, in units of the cell vectors:
Cd 0.5000 0.5000 0.5000  4 Sr 3.56, 4 Bi 3.56
Sr 0.0000 0.0000 0.0000  4 Bi 3.56, 4 Sr 3.56
Bi 0.7500 0.7500 0.7500  4 Cd 3.56, 4 Sr 3.56
Sr 0.2500 0.2500 0.2500  4 Cd 3.56, 4 Sr 3.56

Computed properties:
The calculated total energy is -2.3258 eV/atom. Its symmetry is F-43m. Its crystal system is cubic.



Among the records above, which one has the highest calculated total energy?
Sr2CdBi